1.
The following is a PBE-GGA calculation of a relaxed Mn2Cd2Si crystal, from the Alexandria database.

Unit cell a=5.991 b=5.991 c=4.483 alpha=90.00 beta=90.00 gamma=90.00
Last column: magnetic moment on the atom in μB.
Element x y z (fractional)
Si: 0.000 0.000 0.000  -0.11
Si: 0.500 0.500 0.000  -0.11
Mn: 0.361 0.861 0.000  1.78
Mn: 0.861 0.639 0.000  1.79
Mn: 0.639 0.139 0.000  1.78
Mn: 0.139 0.361 0.000  1.79
Cd: 0.169 0.669 0.500  -0.05
Cd: 0.669 0.831 0.500  -0.05
Cd: 0.831 0.331 0.500  -0.05
Cd: 0.331 0.169 0.500  -0.05

energy above the lowest structure with this stoichiometry: 0.000 eV per formula unit
formation energy from raw total energies: 154 meV/atom
E_tot: -4.964 eV per atom

2.
The following is a PBE-GGA calculation of a relaxed MnCd2Si crystal, from the Alexandria database.

Unit cell a=5.439 b=5.439 c=5.439 alpha=142.74 beta=131.02 gamma=63.11
Last column: magnetic moment on the atom in μB.
Element x y z (fractional)
Cd: 0.012 0.012 0.000  -0.06
Cd: 0.729 0.229 0.500  -0.04
Mn: 0.469 0.469 0.000  2.96
Si: 0.290 0.790 0.500  -0.06

formation energy from raw total energies: 293 meV/atom
E_tot: -3.813 eV per atom

3.
The following is a PBE-GGA calculation of a relaxed MnCd2Si crystal, from the Alexandria database.

Unit cell a=2.973 b=2.973 c=8.469 alpha=90.00 beta=90.00 gamma=90.00
Last column: magnetic moment on the atom in μB.
Element x y z (fractional)
Cd: 0.000 0.000 0.012  -0.03
Cd: 0.000 0.000 0.488  -0.03
Mn: 0.500 0.500 0.250  3.52
Si: 0.500 0.500 0.750  0.01

formation energy from raw total energies: 395 meV/atom
E_tot: -3.710 eV per atom

4.
The following is a PBE-GGA calculation of a relaxed Mn3CdSi crystal, from the Alexandria database.

Unit cell a=4.447 b=4.447 c=4.447 alpha=90.00 beta=90.00 gamma=90.00
Last column: magnetic moment on the atom in μB.
Element x y z (fractional)
Si: 0.000 0.000 0.000  -0.16
Mn: 0.000 0.500 0.000  3.19
Mn: 0.000 0.000 0.500  3.22
Mn: 0.500 0.000 0.000  3.11
Cd: 0.500 0.500 0.500  -0.10

energy above the lowest structure with this stoichiometry: 0.000 eV per formula unit
formation energy from raw total energies: 468 meV/atom
E_tot: -6.302 eV per atom

- Look up the E_tot of the first one.
  -4.964 eV per atom